First-principles (GGA+U) data for a geometry-optimized Cs2MnI6F structure, as listed in Alexandria.

Values from the calculation:
raw total energy	-2.89	eV/atom

a = 8.747 Å, b = 8.747 Å, c = 11.034 Å
α = 90.00°, β = 90.00°, γ = 90.00°
Space group I4/mmm (No. 139)
Inequivalent atoms, fractional coordinates:
Cs 0.000 0.500 0.250 [4 per cell]
Mn 0.000 0.000 0.000 [2 per cell]
I 0.000 0.000 0.291 [4 per cell]
I 0.221 0.221 0.000 [8 per cell]
F 0.000 0.000 0.500 [2 per cell]